# 1
# Rb3AgAu | Alexandria via LeMat-Bulk | PBE | relaxed
# Offset from the most stable computed form, meV per atom: 60
# Symmetry: P2_1/m (11)
# Total energy, eV per cell: -18.42
# Formation enthalpy at 0 K, eV per atom: -0.0360
data_Rb3AgAu
_cell_length_a 4.763
_cell_length_b 11.913
_cell_length_c 9.114
_cell_angle_alpha 90.00
_cell_angle_beta 90.00
_cell_angle_gamma 89.92
_symmetry_space_group_name_H-M 'P 1'
_symmetry_Int_Tables_number 1
loop_
_symmetry_equiv_pos_as_xyz
'x,y,z'
loop_
_atom_site_label
_atom_site_type_symbol
_atom_site_fract_x
_atom_site_fract_y
_atom_site_fract_z
Rb1 Rb 0.000 0.334 0.999
Rb2 Rb 0.000 0.666 0.001
Rb3 Rb 0.000 0.334 0.501
Rb4 Rb 0.000 0.666 0.499
Rb5 Rb 0.498 0.978 0.750
Rb6 Rb 0.502 0.022 0.250
Ag1 Ag 0.500 0.505 0.750
Ag2 Ag 0.500 0.495 0.250
Au1 Au 0.500 0.263 0.750
Au2 Au 0.500 0.737 0.250

---

# 2
# RbAgAu3 | Alexandria via LeMat-Bulk | PBE | relaxed
# Offset from the most stable computed form, meV per atom: 1427
# Symmetry: Pm-3m (221)
# Total energy, eV per cell: -7.07
# Formation enthalpy at 0 K, eV per atom: 1.3152
data_RbAgAu3
_cell_length_a 5.939
_cell_length_b 5.939
_cell_length_c 5.939
_cell_angle_alpha 90.00
_cell_angle_beta 90.00
_cell_angle_gamma 90.00
_symmetry_space_group_name_H-M 'P 1'
_symmetry_Int_Tables_number 1
loop_
_symmetry_equiv_pos_as_xyz
'x,y,z'
loop_
_atom_site_label
_atom_site_type_symbol
_atom_site_fract_x
_atom_site_fract_y
_atom_site_fract_z
Au1 Au 0.000 0.500 0.000
Au2 Au 0.000 0.000 0.500
Au3 Au 0.500 0.000 0.000
Rb1 Rb 0.000 0.000 0.000
Ag1 Ag 0.500 0.500 0.500

---

# 3
# Rb3AgAu | Alexandria via LeMat-Bulk | PBE | relaxed
# Offset from the most stable computed form, meV per atom: 0
# Symmetry: Pmmn (59)
# Total energy, eV per cell: -19.03
# Formation enthalpy at 0 K, eV per atom: -0.0962
data_Rb3AgAu
_cell_length_a 5.323
_cell_length_b 7.869
_cell_length_c 10.411
_cell_angle_alpha 90.00
_cell_angle_beta 90.00
_cell_angle_gamma 90.00
_symmetry_space_group_name_H-M 'P 1'
_symmetry_Int_Tables_number 1
loop_
_symmetry_equiv_pos_as_xyz
'x,y,z'
loop_
_atom_site_label
_atom_site_type_symbol
_atom_site_fract_x
_atom_site_fract_y
_atom_site_fract_z
Rb1 Rb 0.250 0.763 0.548
Rb2 Rb 0.250 0.255 0.750
Rb3 Rb 0.250 0.763 0.952
Rb4 Rb 0.750 0.237 0.452
Rb5 Rb 0.750 0.237 0.048
Rb6 Rb 0.750 0.745 0.250
Ag1 Ag 0.750 0.578 0.750
Ag2 Ag 0.250 0.422 0.250
Au1 Au 0.250 0.056 0.250
Au2 Au 0.750 0.944 0.750

---

What did the first record say?
# Rb3AgAu | Alexandria via LeMat-Bulk | PBE | relaxed
# Offset from the most stable computed form, meV per atom: 60
# Symmetry: P2_1/m (11)
# Total energy, eV per cell: -18.42
# Formation enthalpy at 0 K, eV per atom: -0.0360
data_Rb3AgAu
_cell_length_a 4.763
_cell_length_b 11.913
_cell_length_c 9.114
_cell_angle_alpha 90.00
_cell_angle_beta 90.00
_cell_angle_gamma 89.92
_symmetry_space_group_name_H-M 'P 1'
_symmetry_Int_Tables_number 1
loop_
_symmetry_equiv_pos_as_xyz
'x,y,z'
loop_
_atom_site_label
_atom_site_type_symbol
_atom_site_fract_x
_atom_site_fract_y
_atom_site_fract_z
Rb1 Rb 0.000 0.334 0.999
Rb2 Rb 0.000 0.666 0.001
Rb3 Rb 0.000 0.334 0.501
Rb4 Rb 0.000 0.666 0.499
Rb5 Rb 0.498 0.978 0.750
Rb6 Rb 0.502 0.022 0.250
Ag1 Ag 0.500 0.505 0.750
Ag2 Ag 0.500 0.495 0.250
Au1 Au 0.500 0.263 0.750
Au2 Au 0.500 0.737 0.250